(1)
## Rb2NaTl2 (GGA-PBE)

Data for Rb2NaTl2 after structural relaxation.

Cell: 8.490 8.490 6.281 Å, 90.00 90.00 90.00°
Positions (direct):
Na: 0.000 0.000 0.000
Na: 0.500 0.500 0.000
Tl: 0.374 0.874 0.000
Tl: 0.874 0.626 0.000
Tl: 0.626 0.126 0.000
Tl: 0.126 0.374 0.000
Rb: 0.179 0.679 0.500
Rb: 0.679 0.821 0.500
Rb: 0.821 0.321 0.500
Rb: 0.321 0.179 0.500

Polymorph energy (0 for the lowest one) ... 0.10 eV per formula unit
Fermi-level density of states ... 7.0 states/eV/cell
Spin magnetization ... 0.00 μB per formula unit

(2)
## Rb2Na3Tl2 (GGA-PBE)

Data for Rb2Na3Tl2 after structural relaxation.

Cell: 5.488 7.420 9.477 Å, 119.05 90.00 111.70°
Positions (direct):
Rb: 0.849 0.697 0.223
Rb: 0.151 0.303 0.777
Na: 0.500 0.000 0.000
Na: 0.652 0.305 0.434
Na: 0.348 0.695 0.566
Tl: 0.888 0.777 0.814
Tl: 0.112 0.223 0.186

Fermi-level density of states ... 3.3 states/eV/cell
Spin magnetization ... 0.00 μB per formula unit
Electronic total energy ... -1.57 eV per atom

(3)
## Rb2Na5Tl (GGA-PBE)

Data for Rb2Na5Tl after structural relaxation.

Cell: 8.817 8.815 8.815 Å, 144.74 95.96 95.96°
Positions (direct):
Rb: 0.489 0.929 0.230
Rb: 0.489 0.230 0.929
Na: 0.966 0.665 0.014
Na: 0.316 0.503 0.503
Na: 0.718 0.682 0.682
Na: 0.966 0.014 0.665
Na: 0.929 0.296 0.296
Tl: 0.128 0.903 0.903

Fermi-level density of states ... 4.6 states/eV/cell
Spin magnetization ... 0.00 μB per formula unit
Electronic total energy ... -1.30 eV per atom

(4)
## Rb4Na5Tl (GGA-PBE)

Data for Rb4Na5Tl after structural relaxation.

Cell: 6.795 9.570 9.570 Å, 82.76 69.20 69.20°
Positions (direct):
Rb: 0.850 0.707 0.708
Rb: 0.558 0.292 0.707
Rb: 0.557 0.708 0.293
Rb: 0.265 0.293 0.292
Na: 0.197 0.669 0.000
Na: 0.196 0.000 0.669
Na: 0.866 0.000 0.331
Na: 0.865 0.331 0.000
Na: 0.319 0.000 0.000
Tl: 0.816 0.000 0.000

Fermi-level density of states ... 7.5 states/eV/cell
Spin magnetization ... 0.00 μB per formula unit
Electronic total energy ... -1.28 eV per atom

Number 1 is which compound?
Rb2NaTl2

Which value of spin magnetization does entry 3 give?
0.00 μB per formula unit